(1)
Computed, not measured: a relaxed PrErMg2Sn2 crystal at the PBE level of DFT.

Its total magnetization is 0.000 μB per atom. Its total energy is -3.9771 eV/atom.

Unit cell a=8.626 b=8.626 c=8.626 alpha=150.06 beta=150.06 gamma=42.85
Fractional positions:
Pr (0.000, 0.000, 0.000)
Er (0.332, 0.332, 0.000)
Mg (0.168, 0.668, 0.500)
Mg (0.668, 0.168, 0.500)
Sn (0.532, 0.532, 0.000)
Sn (0.801, 0.801, 0.000)

(2)
Computed, not measured: a relaxed ErMgPt crystal at the PBE level of DFT.

Its total magnetization is 0.001 μB per atom. Its total energy is -4.2206 eV/atom.

Unit cell a=4.700 b=4.700 c=4.700 alpha=60.00 beta=60.00 gamma=60.00
Fractional positions:
Er (0.000, 0.000, 0.000)
Mg (0.750, 0.750, 0.750)
Pt (0.250, 0.250, 0.250)

(3)
Computed, not measured: a relaxed Tb2ErMg3Pt3 crystal at the PBE level of DFT.

Its total magnetization is 0.001 μB per atom. Its total energy is -5.0347 eV/atom.

Unit cell a=4.069 b=7.349 c=7.349 alpha=119.93 beta=90.00 gamma=90.00
Fractional positions:
Tb (0.000, 0.205, 0.795)
Tb (0.000, 0.795, 0.205)
Er (0.000, 0.386, 0.386)
Mg (0.500, 0.041, 0.041)
Mg (0.500, 0.550, 0.794)
Mg (0.500, 0.794, 0.550)
Pt (0.000, 0.793, 0.793)
Pt (0.500, 0.131, 0.461)
Pt (0.500, 0.461, 0.131)

(4)
Computed, not measured: a relaxed TbEr2Mg3Pt3 crystal at the PBE level of DFT.

Its total magnetization is 0.001 μB per atom. Its total energy is -5.0331 eV/atom.

Unit cell a=4.063 b=7.328 c=7.328 alpha=120.07 beta=90.00 gamma=90.00
Fractional positions:
Tb (0.000, 0.000, 0.000)
Er (0.000, 0.180, 0.589)
Er (0.000, 0.589, 0.180)
Mg (0.500, 0.344, 0.344)
Mg (0.500, 0.588, 0.835)
Mg (0.500, 0.835, 0.588)
Pt (0.000, 0.587, 0.587)
Pt (0.500, 0.258, 0.922)
Pt (0.500, 0.922, 0.258)

(5)
Computed, not measured: a relaxed ErTm2Mg3Pt3 crystal at the PBE level of DFT.

Its total magnetization is 0.001 μB per atom. Its total energy is -5.0148 eV/atom.

Unit cell a=4.061 b=7.286 c=7.286 alpha=120.03 beta=90.00 gamma=90.00
Fractional positions:
Er (0.000, 0.000, 0.000)
Tm (0.000, 0.409, 0.818)
Tm (0.000, 0.818, 0.409)
Mg (0.500, 0.163, 0.410)
Mg (0.500, 0.410, 0.163)
Mg (0.500, 0.656, 0.656)
Pt (0.000, 0.410, 0.410)
Pt (0.500, 0.076, 0.742)
Pt (0.500, 0.742, 0.076)

(6)
Computed, not measured: a relaxed Y2ErMg3Pt3 crystal at the PBE level of DFT.

Its total magnetization is 0.001 μB per atom. Its total energy is -5.4441 eV/atom.

Unit cell a=4.072 b=7.333 c=7.333 alpha=119.70 beta=90.00 gamma=90.00
Fractional positions:
Y (0.000, 0.205, 0.795)
Y (0.000, 0.795, 0.205)
Er (0.000, 0.387, 0.387)
Mg (0.500, 0.040, 0.040)
Mg (0.500, 0.549, 0.795)
Mg (0.500, 0.795, 0.549)
Pt (0.000, 0.792, 0.792)
Pt (0.500, 0.132, 0.460)
Pt (0.500, 0.460, 0.132)

(7)
Computed, not measured: a relaxed YEr2Mg3Pt3 crystal at the PBE level of DFT.

Its total magnetization is 0.001 μB per atom. Its total energy is -5.2382 eV/atom.

Unit cell a=4.064 b=7.334 c=7.334 alpha=120.28 beta=90.00 gamma=90.00
Fractional positions:
Y (0.000, 0.000, 0.000)
Er (0.000, 0.181, 0.589)
Er (0.000, 0.589, 0.181)
Mg (0.500, 0.343, 0.343)
Mg (0.500, 0.590, 0.835)
Mg (0.500, 0.835, 0.590)
Pt (0.000, 0.586, 0.586)
Pt (0.500, 0.260, 0.921)
Pt (0.500, 0.921, 0.260)

(8)
Computed, not measured: a relaxed Er3Mg3ZnPt2 crystal at the PBE level of DFT.

Its total magnetization is 0.001 μB per atom. Its total energy is -4.2541 eV/atom.

Unit cell a=7.419 b=7.419 c=4.011 alpha=90.00 beta=90.00 gamma=120.00
Fractional positions:
Er (0.000, 0.418, 0.000)
Er (0.418, 0.000, 0.000)
Er (0.582, 0.582, 0.000)
Mg (0.000, 0.750, 0.500)
Mg (0.250, 0.250, 0.500)
Mg (0.750, 0.000, 0.500)
Zn (0.000, 0.000, 0.000)
Pt (0.333, 0.667, 0.500)
Pt (0.667, 0.333, 0.500)

(9)
Computed, not measured: a relaxed RbErMg crystal at the PBE level of DFT.

Its total magnetization is 0.133 μB per atom. Its total energy is -1.4194 eV/atom.

Unit cell a=5.721 b=5.721 c=5.721 alpha=60.00 beta=60.00 gamma=60.00
Fractional positions:
Rb (0.000, 0.000, 0.000)
Er (0.750, 0.750, 0.750)
Mg (0.500, 0.500, 0.500)

(10)
Computed, not measured: a relaxed RbErMgS3 crystal at the PBE level of DFT.

Its total magnetization is 0.000 μB per atom. Its total energy is -4.9229 eV/atom.

Unit cell a=10.696 b=4.074 c=14.917 alpha=90.00 beta=90.00 gamma=90.00
Fractional positions:
Rb (0.242, 0.250, 0.009)
Rb (0.258, 0.750, 0.509)
Rb (0.742, 0.250, 0.491)
Rb (0.758, 0.750, 0.991)
Er (0.009, 0.750, 0.252)
Er (0.491, 0.250, 0.752)
Er (0.509, 0.750, 0.248)
Er (0.991, 0.250, 0.748)
Mg (0.241, 0.750, 0.786)
Mg (0.259, 0.250, 0.286)
Mg (0.741, 0.750, 0.714)
Mg (0.759, 0.250, 0.214)
S (0.046, 0.750, 0.865)
S (0.066, 0.250, 0.367)
S (0.241, 0.250, 0.694)
S (0.259, 0.750, 0.194)
S (0.434, 0.750, 0.867)
S (0.454, 0.250, 0.365)
S (0.546, 0.750, 0.635)
S (0.566, 0.250, 0.133)
S (0.741, 0.250, 0.806)
S (0.759, 0.750, 0.306)
S (0.934, 0.750, 0.633)
S (0.954, 0.250, 0.135)

(11)
Computed, not measured: a relaxed RbErMgS3 crystal at the PBE level of DFT.

Its total magnetization is 0.001 μB per atom. Its total energy is -4.9170 eV/atom.

Unit cell a=8.902 b=4.094 c=9.820 alpha=90.00 beta=109.06 gamma=90.00
Fractional positions:
Rb (0.219, 0.250, 0.238)
Rb (0.781, 0.750, 0.762)
Er (0.331, 0.750, 0.869)
Er (0.669, 0.250, 0.131)
Mg (0.086, 0.250, 0.613)
Mg (0.914, 0.750, 0.387)
S (0.122, 0.250, 0.864)
S (0.197, 0.750, 0.549)
S (0.474, 0.750, 0.152)
S (0.526, 0.250, 0.848)
S (0.803, 0.250, 0.451)
S (0.878, 0.750, 0.136)

(12)
Computed, not measured: a relaxed RbErMgTe3 crystal at the PBE level of DFT.

Its total magnetization is 0.001 μB per atom. Its total energy is -3.9490 eV/atom.

Unit cell a=9.857 b=4.509 c=10.861 alpha=90.00 beta=109.57 gamma=90.00
Fractional positions:
Rb (0.219, 0.250, 0.246)
Rb (0.781, 0.750, 0.754)
Er (0.329, 0.750, 0.868)
Er (0.671, 0.250, 0.132)
Mg (0.084, 0.250, 0.612)
Mg (0.916, 0.750, 0.388)
Te (0.113, 0.250, 0.873)
Te (0.216, 0.750, 0.546)
Te (0.472, 0.750, 0.161)
Te (0.528, 0.250, 0.839)
Te (0.784, 0.250, 0.454)
Te (0.887, 0.750, 0.127)

(13)
Computed, not measured: a relaxed Er2MgRe3 crystal at the PBE level of DFT.

Its total magnetization is 0.000 μB per atom. Its total energy is -8.1090 eV/atom.

Unit cell a=5.313 b=5.313 c=9.334 alpha=90.00 beta=90.00 gamma=120.00
Fractional positions:
Er (0.333, 0.667, 0.073)
Er (0.333, 0.667, 0.427)
Er (0.667, 0.333, 0.573)
Er (0.667, 0.333, 0.927)
Mg (0.000, 0.000, 0.000)
Mg (0.000, 0.000, 0.500)
Re (0.170, 0.340, 0.750)
Re (0.170, 0.830, 0.750)
Re (0.340, 0.170, 0.250)
Re (0.660, 0.830, 0.750)
Re (0.830, 0.170, 0.250)
Re (0.830, 0.660, 0.250)

(14)
Computed, not measured: a relaxed ErMg2S3 crystal at the PBE level of DFT.

Its total magnetization is 0.003 μB per atom. Its total energy is -4.8835 eV/atom.

Unit cell a=3.704 b=3.704 c=9.401 alpha=90.00 beta=90.00 gamma=120.00
Fractional positions:
Er (0.000, 0.000, 0.000)
Mg (0.333, 0.667, 0.660)
Mg (0.667, 0.333, 0.340)
S (0.000, 0.000, 0.500)
S (0.333, 0.667, 0.183)
S (0.667, 0.333, 0.817)

(15)
Computed, not measured: a relaxed Er2MgS3 crystal at the PBE level of DFT.

Its total magnetization is 0.001 μB per atom. Its total energy is -5.5956 eV/atom.

Unit cell a=3.788 b=3.788 c=9.471 alpha=90.00 beta=90.00 gamma=120.00
Fractional positions:
Er (0.333, 0.667, 0.158)
Er (0.667, 0.333, 0.842)
Mg (0.000, 0.000, 0.500)
S (0.000, 0.000, 0.000)
S (0.333, 0.667, 0.655)
S (0.667, 0.333, 0.345)

(16)
Computed, not measured: a relaxed Er2MgSb2 crystal at the PBE level of DFT.

Its total magnetization is 0.000 μB per atom. Its total energy is -4.4855 eV/atom.

Unit cell a=9.465 b=9.465 c=6.470 alpha=90.00 beta=90.00 gamma=152.63
Fractional positions:
Er (0.013, 0.987, 0.500)
Er (0.198, 0.802, 0.184)
Er (0.802, 0.198, 0.684)
Er (0.987, 0.013, 0.000)
Mg (0.399, 0.601, 0.285)
Mg (0.601, 0.399, 0.785)
Sb (0.185, 0.815, 0.677)
Sb (0.417, 0.583, 0.729)
Sb (0.583, 0.417, 0.229)
Sb (0.815, 0.185, 0.177)

(17)
Computed, not measured: a relaxed ErMgSc crystal at the PBE level of DFT.

Its total magnetization is 0.025 μB per atom. As for the polymorph energy (0 for the lowest one): 0.293 eV per atom. Its total energy is -3.3591 eV/atom.

Unit cell a=5.076 b=5.076 c=5.076 alpha=60.00 beta=60.00 gamma=60.00
Fractional positions:
Er (0.000, 0.000, 0.000)
Mg (0.750, 0.750, 0.750)
Sc (0.250, 0.250, 0.250)

(18)
Computed, not measured: a relaxed ErMg6Sc crystal at the PBE level of DFT.

Its total magnetization is 0.002 μB per atom. As for the polymorph energy (0 for the lowest one): 0.004 eV per atom. Its total energy is -2.5592 eV/atom.

Unit cell a=6.535 b=6.535 c=5.124 alpha=90.00 beta=90.00 gamma=120.00
Fractional positions:
Er (0.000, 0.000, 0.000)
Mg (0.000, 0.500, 0.000)
Mg (0.169, 0.339, 0.500)
Mg (0.169, 0.831, 0.500)
Mg (0.500, 0.000, 0.000)
Mg (0.500, 0.500, 0.000)
Mg (0.661, 0.831, 0.500)
Sc (0.667, 0.333, 0.500)

(19)
Computed, not measured: a relaxed ErMgSc crystal at the PBE level of DFT.

Its total magnetization is 0.094 μB per atom. As for the polymorph energy (0 for the lowest one): 0.000 eV per atom. Its total energy is -3.6518 eV/atom.

Unit cell a=5.023 b=5.023 c=5.023 alpha=60.00 beta=60.00 gamma=60.00
Fractional positions:
Er (0.000, 0.000, 0.000)
Mg (0.250, 0.250, 0.250)
Sc (0.500, 0.500, 0.500)

(20)
Computed, not measured: a relaxed ErMg6Sc crystal at the PBE level of DFT.

Its total magnetization is 0.004 μB per atom. As for the polymorph energy (0 for the lowest one): 0.000 eV per atom. Its total energy is -2.5628 eV/atom.

Unit cell a=5.083 b=5.083 c=7.197 alpha=90.00 beta=90.00 gamma=90.00
Fractional positions:
Er (0.000, 0.000, 0.000)
Mg (0.000, 0.000, 0.500)
Mg (0.000, 0.500, 0.259)
Mg (0.000, 0.500, 0.741)
Mg (0.500, 0.000, 0.259)
Mg (0.500, 0.000, 0.741)
Mg (0.500, 0.500, 0.000)
Sc (0.500, 0.500, 0.500)

(21)
Computed, not measured: a relaxed ErMgTlSe3 crystal at the PBE level of DFT.

Its total magnetization is 0.000 μB per atom. Its total energy is -4.4405 eV/atom.

Unit cell a=14.854 b=4.200 c=11.264 alpha=90.00 beta=90.00 gamma=90.00
Fractional positions:
Er (0.025, 0.250, 0.150)
Er (0.475, 0.750, 0.650)
Er (0.525, 0.250, 0.350)
Er (0.975, 0.750, 0.850)
Mg (0.021, 0.750, 0.400)
Mg (0.479, 0.250, 0.900)
Mg (0.521, 0.750, 0.100)
Mg (0.979, 0.250, 0.600)
Tl (0.243, 0.250, 0.451)
Tl (0.257, 0.750, 0.951)
Tl (0.743, 0.250, 0.049)
Tl (0.757, 0.750, 0.549)
Se (0.079, 0.750, 0.620)
Se (0.096, 0.250, 0.921)
Se (0.139, 0.750, 0.236)
Se (0.361, 0.250, 0.736)
Se (0.404, 0.750, 0.421)
Se (0.421, 0.250, 0.120)
Se (0.579, 0.750, 0.880)
Se (0.596, 0.250, 0.579)
Se (0.639, 0.750, 0.264)
Se (0.861, 0.250, 0.764)
Se (0.904, 0.750, 0.079)
Se (0.921, 0.250, 0.380)

(22)
Computed, not measured: a relaxed Er2MgSi2 crystal at the PBE level of DFT.

Its total magnetization is 0.001 μB per atom. Its total energy is -5.0124 eV/atom.

Unit cell a=7.111 b=7.111 c=4.172 alpha=90.00 beta=90.00 gamma=90.00
Fractional positions:
Er (0.178, 0.322, 0.000)
Er (0.322, 0.822, 0.000)
Er (0.678, 0.178, 0.000)
Er (0.822, 0.678, 0.000)
Mg (0.000, 0.000, 0.500)
Mg (0.500, 0.500, 0.500)
Si (0.119, 0.619, 0.500)
Si (0.381, 0.119, 0.500)
Si (0.619, 0.881, 0.500)
Si (0.881, 0.381, 0.500)

(23)
Computed, not measured: a relaxed SmErMg crystal at the PBE level of DFT.

Its total magnetization is 0.138 μB per atom. As for the polymorph energy (0 for the lowest one): 0.000 eV per atom. Its total energy is -3.1953 eV/atom.

Unit cell a=5.259 b=5.259 c=5.259 alpha=60.00 beta=60.00 gamma=60.00
Fractional positions:
Sm (0.000, 0.000, 0.000)
Er (0.500, 0.500, 0.500)
Mg (0.750, 0.750, 0.750)